Ag3Br5 | PBE | optimized geometry

Unit cell a=4.297 b=7.387 c=9.264 alpha=60.23 beta=97.70 gamma=86.68
Fractional positions:
Br: 0.551 0.713 0.195
Br: 0.065 0.220 0.187
Br: 0.000 0.000 0.500
Br: 0.449 0.287 0.805
Br: 0.935 0.780 0.813
Ag: 0.000 0.000 0.000
Ag: 0.500 0.500 0.000
Ag: 0.500 0.500 0.500

Results
Formation energy without anion corrections in eV/atom: -0.2182
Symmetry: P-1 (2)

Ag4Br3 | PBE | optimized geometry

Unit cell a=12.128 b=12.128 c=12.128 alpha=161.93 beta=161.93 gamma=25.66
Fractional positions:
Br: 0.679 0.679 0.000
Br: 0.321 0.321 0.000
Br: 0.000 0.000 0.000
Ag: 0.564 0.564 0.000
Ag: 0.436 0.436 0.000
Ag: 0.874 0.874 0.000
Ag: 0.126 0.126 0.000

Results
Formation energy without anion corrections in eV/atom: -0.0734
Symmetry: I4/mmm (139)

AgBr5 | PBE | optimized geometry

Unit cell a=4.013 b=4.027 c=12.833 alpha=99.03 beta=90.00 gamma=90.00
Fractional positions:
Br: 0.500 0.500 0.000
Br: 0.000 0.335 0.670
Br: 0.500 0.835 0.670
Br: 0.000 0.665 0.330
Br: 0.500 0.165 0.330
Ag: 0.000 0.000 0.000

Results
Formation energy without anion corrections in eV/atom: 0.0695
Symmetry: Cmmm (65)

AgBr4 | PBE | optimized geometry

Unit cell a=5.315 b=5.315 c=5.315 alpha=90.00 beta=90.00 gamma=90.00
Last column: magnetic moment on the atom in μB.
Fractional positions:
Br: 0.000 0.000 0.000  0.74
Br: 0.000 0.500 0.500  0.20
Br: 0.500 0.500 0.000  0.20
Br: 0.500 0.000 0.500  0.20
Ag: 0.500 0.500 0.500  0.02

Results
Formation energy without anion corrections in eV/atom: 0.2250
Symmetry: Pm-3m (221)

Ag5Br | PBE | optimized geometry

Unit cell a=5.299 b=5.299 c=6.630 alpha=72.70 beta=72.70 gamma=42.57
Fractional positions:
Ag: 0.694 0.694 0.611
Ag: 0.363 0.363 0.303
Ag: 0.366 0.366 0.755
Ag: 0.026 0.026 0.919
Ag: 0.023 0.023 0.467
Br: 0.694 0.694 0.111

Results
Formation energy without anion corrections in eV/atom: 0.0878
Symmetry: C2/m (12)

Ag4Br5 | PBE | optimized geometry

Unit cell a=9.445 b=9.445 c=5.756 alpha=90.00 beta=90.00 gamma=120.00
Fractional positions:
Ag: 0.000 0.649 0.750
Ag: 0.000 0.000 0.500
Ag: 0.000 0.000 0.000
Ag: 0.351 0.000 0.250
Ag: 0.351 0.351 0.750
Ag: 0.649 0.000 0.750
Ag: 0.000 0.351 0.250
Ag: 0.649 0.649 0.250
Br: 0.667 0.333 0.500
Br: 0.729 0.000 0.250
Br: 0.729 0.729 0.750
Br: 0.271 0.271 0.250
Br: 0.667 0.333 0.000
Br: 0.271 0.000 0.750
Br: 0.000 0.271 0.750
Br: 0.333 0.667 0.500
Br: 0.333 0.667 0.000
Br: 0.000 0.729 0.250

Results
Formation energy without anion corrections in eV/atom: -0.0982
Symmetry: P6_3/mcm (193)

Q: formation energy without anion corrections of number 6 (Ag4Br5)?
A: -0.0982 eV/atom

Q: Which of these has the lowest formation energy without anion corrections?
A: Ag3Br5